4
Lattice="2.298 -2.781 0.000 2.298 2.781 0.000 0.000 0.000 5.567" Properties=species:S:1:pos:R:3 comment="CoSe PBE-GGA optimized geometry" dft_energy_ev_per_cell=-19.9 rho_g_cm3=6.4 crystal_system=orthorhombic magmom_total_mub_per_cell=3.1 spacegroup="No. 67" pbc="T T T"
Co 0.000 0.000 0.000
Co 2.298 0.000 0.000
Se 2.298 1.390 3.769
Se 2.298 -1.390 1.798